This record from the Alexandria database describes ZrMnFe after structural relaxation. The functional is PBEsol.

Unit cell a=4.0825 b=4.0825 c=4.0825 alpha=60.00 beta=60.00 gamma=60.00
Atoms (fractional coordinates):
1 Zr 0.0000 0.0000 0.0000
2 Mn 0.5000 0.5000 0.5000
3 Fe 0.2500 0.2500 0.2500

## Properties
The calculation puts the formation enthalpy at 0 K at 0.435 eV/atom. The calculation puts the total moment at 1.034 μB/atom. The calculation puts the relative energy among the computed polymorphs at 0.659 eV/atom.